VASP calculation (PBE) on a relaxed structure of PrGdGaPt.

Structure (POSCAR):
```
PrGdGaPt
1.0
0.000 3.638 3.638
3.638 0.000 3.638
3.638 3.638 0.000
Pr Gd Ga Pt
1 1 1 1
direct
0.000 0.000 0.000 Pr
0.500 0.500 0.500 Gd
0.250 0.250 0.250 Ga
0.750 0.750 0.750 Pt
```

Its space group is F-43m. The magnetization comes out at 7.06 μB per cell. The density of states at the Fermi level comes out at 3.48 states/eV per cell. For the formation energy, the calculation gives -0.762 eV/atom.

VASP calculation (PBE) on a relaxed structure of Mg2C3N6.

Structure (POSCAR):
```
Mg2C3N6
1.0
9.115 -1.625 0.000
9.115 1.625 0.000
-0.437 0.000 5.249
Mg C N
2 3 6
direct
0.175 0.175 0.366 Mg
0.825 0.825 0.634 Mg
0.000 0.000 0.500 C
0.318 0.318 0.128 C
0.682 0.682 0.872 C
0.063 0.063 0.431 N
0.302 0.302 0.353 N
0.332 0.332 0.906 N
0.668 0.668 0.094 N
0.698 0.698 0.647 N
0.937 0.937 0.569 N
```

The value obtained for the formation energy from raw total energies is -0.122 eV/atom. Its space group is C2/m. The magnetization comes out at 1.98 μB per cell. The density of states at the Fermi level comes out at 4.21 states/eV per cell.

VASP calculation (PBE) on a relaxed structure of HoHg3Pb.

Structure (POSCAR):
```
HoHg3Pb
1.0
3.172 -7.957 0.000
3.172 7.957 0.000
0.000 0.000 5.660
Ho Hg Pb
2 6 2
direct
0.181 0.819 0.750 Ho
0.819 0.181 0.250 Ho
0.000 0.000 0.000 Hg
0.000 0.000 0.500 Hg
0.083 0.400 0.750 Hg
0.400 0.083 0.250 Hg
0.600 0.917 0.750 Hg
0.917 0.600 0.250 Hg
0.367 0.633 0.250 Pb
0.633 0.367 0.750 Pb
```

Its space group is Cmcm. The magnetization comes out at 0.00 μB per cell. The density of states at the Fermi level comes out at 5.32 states/eV per cell. For the formation energy, the calculation gives -0.170 eV/atom.

VASP calculation (PBE) on a relaxed structure of Mg2TaTe.

Structure (POSCAR):
```
Mg2TaTe
1.0
2.831 -4.816 0.000
2.831 4.816 0.000
-0.614 0.000 3.109
Mg Ta Te
2 1 1
direct
0.000 0.500 0.000 Mg
0.500 0.000 0.000 Mg
0.000 0.000 0.500 Ta
0.500 0.500 0.500 Te
```

The value obtained for the formation energy from raw total energies is 0.244 eV/atom. Its space group is C2/m. The magnetization comes out at 0.00 μB per cell. The density of states at the Fermi level comes out at 1.47 states/eV per cell.

VASP calculation (PBE) on a relaxed structure of InPtBr2.

Structure (POSCAR):
```
InPtBr2
1.0
3.530 0.000 0.000
0.000 3.530 0.000
0.000 0.000 7.798
In Pt Br
1 1 2
direct
0.000 0.000 0.000 In
0.000 0.000 0.500 Pt
0.500 0.500 0.287 Br
0.500 0.500 0.713 Br
```

The value obtained for the formation energy from raw total energies is 0.324 eV/atom. Its space group is P4/mmm. The magnetization comes out at 0.98 μB per cell. The density of states at the Fermi level comes out at 4.10 states/eV per cell.

VASP calculation (PBE) on a relaxed structure of Tl2CrCu2Se4.

Structure (POSCAR):
```
Tl2CrCu2Se4
1.0
7.235 -1.922 0.000
7.235 1.922 0.000
-2.556 0.000 7.328
Tl Cr Cu Se
2 1 2 4
direct
0.133 0.133 0.067 Tl
0.867 0.867 0.933 Tl
0.000 0.000 0.500 Cr
0.313 0.313 0.516 Cu
0.687 0.687 0.484 Cu
0.188 0.188 0.679 Se
0.484 0.484 0.712 Se
0.516 0.516 0.288 Se
0.812 0.812 0.321 Se
```

The value obtained for the formation energy from raw total energies is -0.340 eV/atom. Its space group is C2/m. The magnetization comes out at 2.61 μB per cell. The density of states at the Fermi level comes out at 4.92 states/eV per cell.

Number 1: total DFT energy (no corrections) -31.0 eV for the cell shown. Number 2: total DFT energy (no corrections) -82.1 eV for the cell shown. Number 3: total DFT energy (no corrections) -20.1 eV for the cell shown. Number 4: total DFT energy (no corrections) -17.2 eV for the cell shown. Number 5: total DFT energy (no corrections) -10.8 eV for the cell shown. Number 6: total DFT energy (no corrections) -39.5 eV for the cell shown.